1.
The following is a DFT calculation (PBE) of a geometry-optimized SrCoCl2 structure.

Unit cell a=8.382 b=8.382 c=8.382 alpha=27.10 beta=27.10 gamma=27.10
Site moments in Bohr magnetons follow the coordinates.
Atoms (fractional coordinates):
Cl 0.118 0.118 0.118  0.06
Cl 0.882 0.882 0.882  0.06
Sr 0.000 0.000 0.000  0.10
Co 0.500 0.500 0.500  2.03

## Properties
The formation energy without anion corrections is -0.573 eV per atom. For the energy above the most stable polymorph in this dataset, the calculation gives 0.401 eV per atom.



2.
The following is a DFT calculation (PBE) of a geometry-optimized SiSb2SeI structure.

Unit cell a=5.358 b=5.358 c=5.182 alpha=90.00 beta=90.00 gamma=90.00
Atoms (fractional coordinates):
Sb 0.500 0.000 0.000
Si 0.000 0.000 0.000
Se 0.500 0.500 0.500
I 0.000 0.000 0.500
Sb 0.000 0.500 0.000

## Properties
The formation energy without anion corrections is 0.668 eV per atom. For the energy above the most stable polymorph in this dataset, the calculation gives 0.000 eV per atom.



3.
The following is a DFT calculation (PBE) of a geometry-optimized Th2CdBi structure.

Unit cell a=4.549 b=5.080 c=5.080 alpha=90.00 beta=90.00 gamma=90.00
Atoms (fractional coordinates):
Bi 0.500 0.500 0.500
Th 0.000 0.500 0.000
Th 0.000 0.000 0.500
Cd 0.500 0.000 0.000

## Properties
The value obtained for the energy relative to the elements is -6.324 kcal/mol of atoms. For the energy above the most stable polymorph in this dataset, the calculation gives 0.020 eV per atom.



4.
The following is a DFT calculation (PBE) of a geometry-optimized LiAcIn structure.

Unit cell a=4.560 b=4.560 c=10.762 alpha=77.77 beta=77.77 gamma=60.00
Atoms (fractional coordinates):
In 0.546 0.546 0.361
In 0.454 0.454 0.639
Li 0.843 0.843 0.470
Ac 0.281 0.281 0.157
Li 0.157 0.157 0.530
Ac 0.719 0.719 0.843

## Properties
The value obtained for the energy relative to the elements is -3.963 kcal/mol of atoms. For the energy above the most stable polymorph in this dataset, the calculation gives 0.133 eV per atom.



5.
The following is a DFT calculation (PBE) of a geometry-optimized CoSiAs2 structure.

Unit cell a=3.038 b=3.037 c=7.104 alpha=90.00 beta=90.00 gamma=90.00
Atoms (fractional coordinates):
As 0.500 0.500 0.337
Si 0.500 0.500 0.702
As 0.000 0.000 0.913
Co 0.000 0.000 0.549

## Properties
The formation energy without anion corrections is 0.064 eV per atom.



6.
The following is a DFT calculation (PBE) of a geometry-optimized BiHSe structure.

Unit cell a=4.125 b=4.125 c=5.273 alpha=113.03 beta=113.03 gamma=90.00
Atoms (fractional coordinates):
H 0.233 0.233 0.466
Bi 0.024 0.024 0.047
Se 0.593 0.593 0.187

## Properties
For the energy above the most stable polymorph in this dataset, the calculation gives 0.106 eV per atom.



7.
The following is a DFT calculation (PBE) of a geometry-optimized PrSmEr2 structure.

Unit cell a=5.716 b=5.716 c=5.716 alpha=60.00 beta=60.00 gamma=60.00
Atoms (fractional coordinates):
Er 0.250 0.250 0.250
Sm 0.500 0.500 0.500
Er 0.750 0.750 0.750
Pr 0.000 0.000 0.000

## Properties
The value obtained for the energy relative to the elements is 2.478 kcal/mol of atoms. For the energy above the most stable polymorph in this dataset, the calculation gives 0.091 eV per atom.



8.
The following is a DFT calculation (PBE) of a geometry-optimized Ta2InP structure.

Unit cell a=3.059 b=3.059 c=8.067 alpha=90.00 beta=90.00 gamma=108.27
Atoms (fractional coordinates):
In 0.500 0.500 0.250
Ta 0.000 0.000 0.542
Ta 0.000 0.000 0.958
P 0.500 0.500 0.750

## Properties
The value obtained for the energy relative to the elements is -1.580 kcal/mol of atoms. For the energy above the most stable polymorph in this dataset, the calculation gives 0.223 eV per atom.



9.
The following is a DFT calculation (PBE) of a geometry-optimized Ba2TaAs2 structure.

Unit cell a=7.406 b=7.406 c=5.169 alpha=90.00 beta=90.00 gamma=90.00
Site moments in Bohr magnetons follow the coordinates.
Atoms (fractional coordinates):
Ta 0.000 0.000 0.000  0.71
As 0.666 0.166 0.000  -0.03
Ta 0.500 0.500 0.000  0.71
As 0.834 0.666 0.000  -0.03
Ba 0.340 0.160 0.500  0.01
Ba 0.160 0.660 0.500  0.01
Ba 0.840 0.340 0.500  0.01
As 0.334 0.834 0.000  -0.03
As 0.166 0.334 0.000  -0.03
Ba 0.660 0.840 0.500  0.01

## Properties
The value obtained for the energy relative to the elements is -7.797 kcal/mol of atoms. For the energy above the most stable polymorph in this dataset, the calculation gives 0.000 eV per atom.



10.
The following is a DFT calculation (PBE) of a geometry-optimized FeCuHg3 structure.

Unit cell a=5.084 b=5.084 c=5.084 alpha=90.00 beta=90.00 gamma=90.00
Site moments in Bohr magnetons follow the coordinates.
Atoms (fractional coordinates):
Hg 0.500 0.000 0.000  -0.04
Cu 0.500 0.500 0.500  0.05
Hg 0.000 0.000 0.500  0.01
Fe 0.000 0.000 0.000  2.58
Hg 0.000 0.500 0.000  0.00

## Properties
The value obtained for the energy relative to the elements is 17.884 kcal/mol of atoms. For the energy above the most stable polymorph in this dataset, the calculation gives 0.000 eV per atom.



11.
The following is a DFT calculation (PBE) of a geometry-optimized LaMgCu structure.

Unit cell a=4.811 b=4.811 c=3.618 alpha=90.00 beta=90.00 gamma=120.00
Atoms (fractional coordinates):
La 0.667 0.333 0.333
Cu 0.000 0.000 0.834
Mg 0.333 0.667 0.833

## Properties
The value obtained for the energy relative to the elements is -1.681 kcal/mol of atoms.



12.
The following is a DFT calculation (PBE) of a geometry-optimized V2Sb2W structure.

Unit cell a=3.396 b=3.396 c=8.365 alpha=78.29 beta=78.29 gamma=90.00
Atoms (fractional coordinates):
Sb 0.603 0.603 0.793
W 0.000 0.000 0.000
Sb 0.397 0.397 0.207
V 0.750 0.250 0.500
V 0.250 0.750 0.500

## Properties
The formation energy without anion corrections is 0.674 eV per atom. For the energy above the most stable polymorph in this dataset, the calculation gives 0.217 eV per atom.